# GGA-PBE Ac2PrSmSe6, optimized geometry
# Raw formation energy ... -1.912 eV/atom
# Symmetry ... R3 (146)
# E_tot ... -5.774 eV per atom
# Density of states at the Fermi level ... 0.00 states/eV/cell
data_Ac2PrSmSe6
_cell_length_a 8.015
_cell_length_b 8.015
_cell_length_c 8.015
_cell_angle_alpha 57.38
_cell_angle_beta 57.38
_cell_angle_gamma 57.38
_space_group_name_H-M_alt 'P 1'
_space_group_IT_number 1
loop_
_space_group_symop_operation_xyz
'x,y,z'
loop_
_atom_site_label
_atom_site_fract_x
_atom_site_fract_y
_atom_site_fract_z
Ac1 0.000 0.000 0.000
Ac2 0.499 0.499 0.499
Pr1 0.209 0.209 0.209
Sm1 0.707 0.707 0.707
Se1 0.079 0.828 0.420
Se2 0.331 0.585 0.914
Se3 0.420 0.079 0.828
Se4 0.585 0.914 0.331
Se5 0.828 0.420 0.079
Se6 0.914 0.331 0.585